Entry 1:
TcSnP: optimized geometry, PBE.

## Properties
Its excess energy over the best structure of this formula in the dataset is 66.3 meV per atom. The value obtained for the total energy is -81.70 eV per cell.

Cell: 13.043 3.100 6.688 Å, 90.00 118.84 90.00°
Space group C2/m (No. 12)
One atom of each set of equivalent atoms:
Tc: 0.221 0.000 0.145 (multiplicity 4)
Sn: 0.125 0.500 0.380 (multiplicity 4)
P: 0.104 0.500 0.869 (multiplicity 4)


Entry 2:
K3ReO4: optimized geometry, PBE.

## Properties
The value obtained for the raw formation energy is -1.507 eV/atom. The value obtained for the total energy is -95.26 eV per cell.

Cell: 5.569 5.569 11.652 Å, 90.00 90.00 90.00°
Space group I-42m (No. 121)
One atom of each set of equivalent atoms:
K: 0.000 0.000 0.000 (multiplicity 2)
K: 0.000 0.500 0.250 (multiplicity 4)
Re: 0.000 0.000 0.500 (multiplicity 2)
O: 0.181 0.181 0.603 (multiplicity 8)


Entry 3:
VSbPt2: optimized geometry, PBE.

## Properties
The value obtained for the raw formation energy is 0.171 eV/atom. The value obtained for the total energy is -98.55 eV per cell.

Cell: 5.836 5.836 11.388 Å, 90.00 90.00 90.00°
Space group I-42d (No. 122)
One atom of each set of equivalent atoms:
V: 0.000 0.000 0.000 (multiplicity 4)
Sb: 0.000 0.000 0.500 (multiplicity 4)
Pt: 0.222 0.250 0.125 (multiplicity 8)


Entry 4:
Cd6Rh7: optimized geometry, PBE.

## Properties
The value obtained for the total energy is -170.69 eV per cell.

Cell: 5.3201 5.3201 27.7205 Å, 90.00 90.00 120.00°
Space group R-3m (No. 166, hexagonal axes)
One atom of each set of equivalent atoms:
Cd: 0.0000 0.0000 0.0516 (multiplicity 6)
Cd: 0.0000 0.0000 0.1538 (multiplicity 6)
Cd: 0.0000 0.0000 0.3354 (multiplicity 6)
Rh: 0.0000 0.0000 0.5000 (multiplicity 3)
Rh: 0.0050 0.5025 0.9097 (multiplicity 18)